NaTiMnTe3 | PBE-GGA | optimized geometry Values from VASP.

```
&SYSTEM
  ibrav = 0, nat = 12, ntyp = 4
/
ATOMIC_SPECIES
Na 22.99 Na.upf
Ti 47.87 Ti.upf
Mn 54.94 Mn.upf
Te 127.60 Te.upf
ATOMIC_POSITIONS angstrom
Na 2.840 3.711 6.719
Na 0.947 1.217 2.410
Ti 0.947 5.319 1.546
Ti 2.840 -0.391 7.583
Mn 0.947 -1.536 5.275
Mn 2.840 6.465 3.854
Te 0.947 4.589 4.117
Te 2.840 7.290 1.378
Te 2.840 3.288 0.937
Te 2.840 0.339 5.012
Te 0.947 1.640 8.191
Te 0.947 -2.361 7.751
CELL_PARAMETERS angstrom
3.787 0.000 0.000
0.000 8.689 -0.425
0.000 -3.761 9.553
```

Computed properties:
E_form (uncorrected), meV/atom: -509
Symmetry: P2_1/m (11)
Uncorrected energy, eV/cell: -61.7
Density of states at the Fermi level, states/eV/f.u.: 2.5